Record 1
# Sm7Dy2Y3

A relaxed structure of Sm7Dy2Y3 (PBE, Alexandria).

Cell: 3.6210 5.8539 18.9140 Å, 93.66 90.00 90.00°
With the nearest neighbours (Å) after each atom.
Fractional positions:
Sm1 0.5000 0.7419 0.4643  1 Dy 3.17, 2 Sm 3.21-3.23
Sm2 0.5000 0.2581 0.5357  1 Dy 3.17, 2 Sm 3.21-3.23
Sm3 0.0000 0.6791 0.1452  2 Dy 3.38, 2 Y 3.40, 7 Sm 3.42-3.62
Sm4 0.0000 0.0000 0.0000  4 Sm 3.42-3.62, 4 Y 3.44
Sm5 0.0000 0.3209 0.8548  2 Dy 3.38, 2 Y 3.40, 7 Sm 3.42-3.62
Sm6 0.5000 0.8196 0.8189  6 Sm 3.48-3.62, 2 Dy 3.64-3.66
Sm7 0.5000 0.1804 0.1811  6 Sm 3.48-3.62, 2 Dy 3.64-3.66
Dy1 0.5000 0.7065 0.2965  3 Sm 3.17-3.38
Dy2 0.5000 0.2935 0.7035  3 Sm 3.17-3.38
Y1 0.5000 0.5000 0.0000  8 Sm 3.40-3.44, 2 Y 3.62
Y2 0.0000 0.2179 0.3673  2 Y 3.62, 8 Sm 3.66-3.95, 4 Dy 3.68-3.71
Y3 0.0000 0.7821 0.6327  2 Y 3.62, 8 Sm 3.66-3.95, 4 Dy 3.68-3.71

ΔE_f = 0.084 eV per atom
SG = P2/m (10)
DFT total energy = -5.052 eV per atom
Density of states at the Fermi level = 16.491 states/eV/f.u.
Total magnetic moment = 0.0 μB per formula unit
Energy relative to the lowest polymorph listed for this composition = 0.00 eV/f.u.

=====

Record 2
# Pr4Cd2C

A relaxed structure of Pr4Cd2C (PBE, Alexandria).

Cell: 5.2171 5.2171 8.5751 Å, 72.29 72.29 90.00°
With the nearest neighbours (Å) after each atom.
Fractional positions:
Pr1 0.8350 0.8350 0.3299  1 C 2.55
Pr2 0.1650 0.1650 0.6701  1 C 2.55
Pr3 0.0000 0.5000 0.0000  2 C 2.61
Pr4 0.5000 0.0000 0.0000  2 C 2.61
C1 0.0000 0.0000 0.0000  6 Pr 2.55-2.61
Cd1 0.6296 0.6296 0.7408  5 Pr 3.18-3.29
Cd2 0.3704 0.3704 0.2592  5 Pr 3.18-3.29

ΔE_f = -0.113 eV per atom
SG = I4/mmm (139)
DFT total energy = -4.424 eV per atom
Density of states at the Fermi level = 8.239 states/eV/f.u.
Total magnetic moment = 0.0 μB per formula unit

=====

Record 3
# CaCdPt2

A relaxed structure of CaCdPt2 (PBE, Alexandria).

Cell: 5.5063 5.5063 4.9507 Å, 75.29 75.29 32.32°
With the nearest neighbours (Å) after each atom.
Fractional positions:
Ca1 0.5199 0.5199 0.4443  7 Pt 2.91-3.01, 2 Ca 3.07, 1 Cd 3.17
Pt1 0.9816 0.9816 0.9605  4 Pt 2.81-3.07, 4 Ca 2.91-2.96, 3 Cd 2.92-3.00
Pt2 0.2737 0.2737 0.2863  4 Pt 2.81-3.07, 3 Ca 2.91-3.01, 4 Cd 2.93-2.97
Cd1 0.7248 0.7248 0.8089  7 Pt 2.92-3.00, 2 Cd 3.07, 1 Ca 3.17

ΔE_f = -0.539 eV per atom
SG = Cm (8)
DFT total energy = -4.289 eV per atom
Density of states at the Fermi level = 1.397 states/eV/f.u.
Total magnetic moment = 0.0 μB per formula unit

=====

Record 4
# UTlHgAu

A relaxed structure of UTlHgAu (PBE, Alexandria).

Cell: 5.1328 5.1328 5.1328 Å, 60.00 60.00 60.00°
With the nearest neighbours (Å) after each atom.
Fractional positions:
Au1 0.7500 0.7500 0.7500  4 Tl 3.14, 4 U 3.14
Tl1 0.0000 0.0000 0.0000  4 Hg 3.14, 4 Au 3.14
U1 0.5000 0.5000 0.5000  4 Hg 3.14, 4 Au 3.14
Hg1 0.2500 0.2500 0.2500  4 U 3.14, 4 Tl 3.14

ΔE_f = 0.091 eV per atom
SG = F-43m (216)
DFT total energy = -4.218 eV per atom
Density of states at the Fermi level = 10.245 states/eV/f.u.
Total magnetic moment = 2.9 μB per formula unit

=====

Record 5
# Pr7SmHo2

A relaxed structure of Pr7SmHo2 (PBE, Alexandria).

Cell: 3.5291 10.5296 10.5296 Å, 108.97 90.00 90.00°
With the nearest neighbours (Å) after each atom.
Fractional positions:
Pr1 0.0000 0.6785 0.3215  2 Ho 3.19, 8 Pr 3.53-3.58
Pr2 0.0000 0.3215 0.6785  2 Ho 3.19, 8 Pr 3.53-3.58
Pr3 0.5000 0.1245 0.3853  1 Ho 3.18, 2 Pr 3.53
Pr4 0.5000 0.8755 0.6147  1 Ho 3.18, 2 Pr 3.53
Pr5 0.5000 0.3853 0.1245  1 Ho 3.18, 2 Pr 3.53
Pr6 0.5000 0.6147 0.8755  1 Ho 3.18, 2 Pr 3.53
Pr7 0.5000 0.5000 0.5000  10 Pr 3.53-3.74
Sm1 0.0000 0.0000 0.0000  4 Ho 3.35, 2 Sm 3.53
Ho1 0.5000 0.8338 0.1662  4 Pr 3.18-3.19, 2 Sm 3.35, 2 Ho 3.53
Ho2 0.5000 0.1662 0.8338  4 Pr 3.18-3.19, 2 Sm 3.35, 2 Ho 3.53

ΔE_f = 0.362 eV per atom
SG = Cmmm (65)
DFT total energy = -4.371 eV per atom
Density of states at the Fermi level = 15.538 states/eV/f.u.
Total magnetic moment = 0.0 μB per formula unit
Energy relative to the lowest polymorph listed for this composition = 0.00 eV/f.u.

=====

Record 6
# AcPaCo2Si2

A relaxed structure of AcPaCo2Si2 (PBE, Alexandria).

Cell: 4.0272 4.0272 8.3628 Å, 90.00 90.00 120.00°
With the nearest neighbours (Å) after each atom.
Fractional positions:
Ac1 0.0000 0.0000 0.0000  6 Si 3.24, 6 Co 3.40
Pa1 0.0000 0.0000 0.5000  6 Co 2.88, 6 Si 3.02
Co1 0.6667 0.3333 0.2965  3 Si 2.34
Co2 0.3333 0.6667 0.7035  3 Si 2.34
Si1 0.6667 0.3333 0.7299  3 Co 2.34
Si2 0.3333 0.6667 0.2701  3 Co 2.34

SG = P-3m1 (164)
DFT total energy = -7.033 eV per atom
Density of states at the Fermi level = 8.406 states/eV/f.u.
Total magnetic moment = 0.0 μB per formula unit
E_form (uncorrected) = -0.59 eV/atom

=====

Record 7
# Cd2CoTc

A relaxed structure of Cd2CoTc (PBE, Alexandria).

Cell: 5.3637 5.3637 5.3637 Å, 145.21 130.79 61.67°
With the nearest neighbours (Å) after each atom.
Fractional positions:
Cd1 0.9846 0.9846 0.0000  2 Co 2.69, 4 Cd 2.76, 2 Tc 2.92
Cd2 0.5154 0.5154 0.0000  2 Co 2.69, 4 Cd 2.76, 2 Tc 2.92
Co1 0.7500 0.2500 0.5000  4 Cd 2.69, 4 Tc 2.75
Tc1 0.2500 0.7500 0.5000  4 Co 2.75, 4 Cd 2.92

ΔE_f = 0.501 eV per atom
SG = Immm (71)
DFT total energy = -4.324 eV per atom
Density of states at the Fermi level = 2.977 states/eV/f.u.
Total magnetic moment = 3.0 μB per formula unit
Energy relative to the lowest polymorph listed for this composition = 1.29 eV/f.u.

=====

Record 8
# Pr2Ni12P5

A relaxed structure of Pr2Ni12P5 (PBE, Alexandria).

Cell: 3.6872 10.8931 13.1619 Å, 108.03 90.00 90.00°
With the nearest neighbours (Å) after each atom.
Fractional positions:
Pr1 0.2500 0.2802 0.3168  12 Ni 2.98-3.24, 4 P 2.99-3.02
Pr2 0.7500 0.7198 0.6832  12 Ni 2.98-3.24, 4 P 2.99-3.02
Pr3 0.2500 0.2460 0.8120  7 P 3.06-3.14, 11 Ni 3.21-3.41
Pr4 0.7500 0.7540 0.1880  7 P 3.06-3.14, 11 Ni 3.21-3.41
Ni1 0.2500 0.8425 0.8642  2 P 2.19-2.28
Ni2 0.7500 0.1575 0.1358  2 P 2.19-2.28
Ni3 0.2500 0.2863 0.5615  3 P 2.14-2.33, 1 Ni 2.38
Ni4 0.7500 0.7137 0.4385  3 P 2.14-2.33, 1 Ni 2.38
Ni5 0.2500 0.0718 0.9856  2 P 2.32, 6 Ni 2.41-2.52
Ni6 0.7500 0.9282 0.0144  2 P 2.32, 6 Ni 2.41-2.52
Ni7 0.2500 0.0649 0.5522  2 P 2.27, 6 Ni 2.38-2.52
Ni8 0.7500 0.9351 0.4478  2 P 2.27, 6 Ni 2.38-2.52
Ni9 0.2500 0.5968 0.3048  4 P 2.21-2.43
Ni10 0.7500 0.4032 0.6952  4 P 2.21-2.43
Ni11 0.2500 0.5818 0.9915  4 P 2.19-2.43
Ni12 0.7500 0.4182 0.0085  4 P 2.19-2.43
Ni13 0.2500 0.5782 0.4900  3 P 2.20-2.33
Ni14 0.7500 0.4218 0.5100  3 P 2.20-2.33
Ni15 0.2500 0.2992 0.0813  3 P 2.17-2.31, 1 Ni 2.41
Ni16 0.7500 0.7008 0.9187  3 P 2.17-2.31, 1 Ni 2.41
Ni17 0.2500 0.9942 0.3406  3 P 2.26-2.30, 3 Ni 2.48-2.52
Ni18 0.7500 0.0058 0.6594  3 P 2.26-2.30, 3 Ni 2.48-2.52
Ni19 0.2500 0.8420 0.5622  2 P 2.21-2.28
Ni20 0.7500 0.1580 0.4378  2 P 2.21-2.28
Ni21 0.2500 0.9894 0.1509  3 P 2.27-2.30, 3 Ni 2.48-2.52
Ni22 0.7500 0.0106 0.8491  3 P 2.27-2.30, 3 Ni 2.48-2.52
Ni23 0.2500 0.5598 0.7961  3 P 2.19-2.32
Ni24 0.7500 0.4402 0.2039  3 P 2.19-2.32
P1 0.2500 0.5088 0.1293  5 Ni 2.17-2.32
P2 0.7500 0.4912 0.8707  5 Ni 2.17-2.32
P3 0.2500 0.8000 0.0162  7 Ni 2.19-2.32
P4 0.7500 0.2000 0.9838  7 Ni 2.19-2.32
P5 0.2500 0.4926 0.6210  5 Ni 2.14-2.33
P6 0.7500 0.5074 0.3790  5 Ni 2.14-2.33
P7 0.2500 0.8126 0.3887  7 Ni 2.21-2.33
P8 0.7500 0.1874 0.6113  7 Ni 2.21-2.33
P9 0.2500 0.9506 0.7408  6 Ni 2.28-2.30
P10 0.7500 0.0494 0.2592  6 Ni 2.28-2.30

ΔE_f = -0.678 eV per atom
SG = P2_1/m (11)
DFT total energy = -6.256 eV per atom
Density of states at the Fermi level = 13.903 states/eV/f.u.
Total magnetic moment = 0.0 μB per formula unit

=====

Record 9
# AcTb3Pb2

A relaxed structure of AcTb3Pb2 (PBE, Alexandria).

Cell: 4.8135 10.7275 9.5696 Å, 123.12 90.00 102.96°
With the nearest neighbours (Å) after each atom.
Fractional positions:
Ac1 0.8838 0.7677 0.9127  6 Pb 3.46-3.66, 1 Tb 3.73
Ac2 0.1162 0.2323 0.0873  6 Pb 3.46-3.66, 1 Tb 3.73
Tb1 0.3069 0.6137 0.5012  3 Pb 3.24-3.31, 5 Tb 3.37-3.57
Tb2 0.9397 0.8794 0.5690  3 Pb 3.13-3.32, 3 Tb 3.44-3.45
Tb3 0.6399 0.2798 0.7937  4 Pb 3.23-3.41, 1 Tb 3.57
Tb4 0.3601 0.7202 0.2063  4 Pb 3.23-3.41, 1 Tb 3.57
Tb5 0.0603 0.1206 0.4310  3 Pb 3.13-3.32, 3 Tb 3.44-3.45
Tb6 0.6931 0.3863 0.4988  3 Pb 3.24-3.31, 5 Tb 3.37-3.57
Pb1 0.4862 0.9725 0.8173  4 Tb 3.13-3.34, 1 Pb 3.21, 2 Ac 3.46
Pb2 0.5138 0.0275 0.1827  4 Tb 3.13-3.34, 1 Pb 3.21, 2 Ac 3.46
Pb3 0.7615 0.5230 0.2236  6 Tb 3.23-3.41, 2 Ac 3.50
Pb4 0.2385 0.4770 0.7764  6 Tb 3.23-3.41, 2 Ac 3.50

ΔE_f = -0.335 eV per atom
SG = C2/m (12)
DFT total energy = -4.571 eV per atom
Density of states at the Fermi level = 7.538 states/eV/f.u.
Total magnetic moment = 0.6 μB per formula unit

=====

Record 10
# Rb2Cd5Ag5

A relaxed structure of Rb2Cd5Ag5 (PBE, Alexandria).

Cell: 4.5502 6.3064 10.8748 Å, 90.00 90.00 90.00°
With the nearest neighbours (Å) after each atom.
Fractional positions:
Rb1 0.0000 0.5000 0.0000  10 Ag 3.60-3.89, 8 Cd 3.84
Rb2 0.0000 0.0000 0.5000  6 Ag 3.65-3.70, 12 Cd 3.89-3.92
Cd1 0.5000 0.5000 0.5000  4 Ag 2.93, 4 Cd 3.20
Cd2 0.5000 0.7518 0.2445  5 Ag 2.91-3.09, 3 Cd 3.13-3.20
Cd3 0.5000 0.2482 0.7555  5 Ag 2.91-3.09, 3 Cd 3.13-3.20
Cd4 0.5000 0.2482 0.2445  5 Ag 2.91-3.09, 3 Cd 3.13-3.20
Cd5 0.5000 0.7518 0.7555  5 Ag 2.91-3.09, 3 Cd 3.13-3.20
Ag1 0.0000 0.5000 0.3309  6 Cd 2.93
Ag2 0.0000 0.0000 0.8406  2 Ag 2.86, 4 Cd 2.91
Ag3 0.0000 0.0000 0.1594  2 Ag 2.86, 4 Cd 2.91
Ag4 0.0000 0.5000 0.6691  6 Cd 2.93
Ag5 0.5000 0.0000 0.0000  4 Ag 2.86, 4 Cd 3.09

ΔE_f = -0.024 eV per atom
SG = Pmmm (47)
DFT total energy = -1.755 eV per atom
Density of states at the Fermi level = 5.234 states/eV/f.u.
Total magnetic moment = 0.0 μB per formula unit
Energy relative to the lowest polymorph listed for this composition = 0.03 eV/f.u.

=====

Record 11
# KRb2I

A relaxed structure of KRb2I (PBE, Alexandria).

Cell: 11.5010 11.5010 9.2696 Å, 51.66 51.66 90.00°
With the nearest neighbours (Å) after each atom.
Fractional positions:
I1 0.0000 0.0000 0.0000  4 Rb 3.63
I2 0.7500 0.2500 0.5000  4 Rb 3.63
K1 0.5000 0.5000 0.0000  2 I 4.45, 8 Rb 4.80-4.92
K2 0.2500 0.7500 0.5000  2 I 4.45, 8 Rb 4.80-4.92
Rb1 0.7086 0.1250 0.2500  2 I 3.63
Rb2 0.0414 0.6250 0.2500  2 I 3.63
Rb3 0.3750 0.2914 0.7500  2 I 3.63
Rb4 0.8750 0.9586 0.7500  2 I 3.63

SG = I-42d (122)
DFT total energy = -1.747 eV per atom
Density of states at the Fermi level = 2.511 states/eV/f.u.
Total magnetic moment = 0.0 μB per formula unit
Energy relative to the lowest polymorph listed for this composition = 0.38 eV/f.u.
E_form (uncorrected) = -0.60 eV/atom

=====

Record 12
# TbCd5Ag6

A relaxed structure of TbCd5Ag6 (PBE, Alexandria).

Cell: 4.8042 8.2131 8.2131 Å, 116.10 106.99 106.99°
With the nearest neighbours (Å) after each atom.
Fractional positions:
Tb1 0.0000 0.0000 0.0000  8 Ag 3.05-3.10, 4 Cd 3.26
Ag1 0.2661 0.0926 0.4345  7 Cd 2.90-3.08, 1 Tb 3.05, 1 Ag 3.25
Ag2 0.7339 0.5655 0.9074  7 Cd 2.90-3.08, 1 Tb 3.05, 1 Ag 3.25
Ag3 0.7692 0.2688 0.2688  6 Cd 2.93-2.95, 2 Tb 3.09-3.10
Ag4 0.2308 0.7312 0.7312  6 Cd 2.93-2.95, 2 Tb 3.09-3.10
Ag5 0.2661 0.4345 0.0926  7 Cd 2.90-3.08, 1 Tb 3.05, 1 Ag 3.25
Ag6 0.7339 0.9074 0.5655  7 Cd 2.90-3.08, 1 Tb 3.05, 1 Ag 3.25
Cd1 0.5000 0.1585 0.8415  8 Ag 2.93-3.08, 2 Tb 3.26
Cd2 0.0000 0.3278 0.6722  8 Ag 2.90-2.96
Cd3 0.5000 0.5000 0.5000  8 Ag 2.93
Cd4 0.0000 0.6722 0.3278  8 Ag 2.90-2.96
Cd5 0.5000 0.8415 0.1585  8 Ag 2.93-3.08, 2 Tb 3.26

ΔE_f = -0.090 eV per atom
SG = C2/m (12)
DFT total energy = -2.283 eV per atom
Density of states at the Fermi level = 3.512 states/eV/f.u.
Total magnetic moment = 0.0 μB per formula unit
Energy relative to the lowest polymorph listed for this composition = 0.09 eV/f.u.

=====

Record 13
# Cr5Ir6W

A relaxed structure of Cr5Ir6W (PBE, Alexandria).

Cell: 4.6117 5.4097 6.5671 Å, 89.99 91.09 90.00°
With the nearest neighbours (Å) after each atom.
Fractional positions:
Cr1 0.6681 0.5000 0.3281  8 Ir 2.63-2.68, 4 Cr 2.67-2.76
Cr2 0.3397 0.0000 0.6598  3 Cr 2.59-2.71, 8 Ir 2.62-2.73, 1 W 2.75
Cr3 0.0000 0.5000 0.0000  8 Ir 2.66-2.70, 2 Cr 2.67, 2 W 2.70
Cr4 0.6603 0.0000 0.3402  3 Cr 2.59-2.71, 8 Ir 2.62-2.73, 1 W 2.75
Cr5 0.3319 0.5000 0.6719  8 Ir 2.63-2.68, 4 Cr 2.67-2.76
Ir1 0.8273 0.7476 0.6619  7 Cr 2.62-2.73, 4 Ir 2.68-2.73, 1 W 2.71
Ir2 0.8273 0.2524 0.6619  7 Cr 2.62-2.73, 4 Ir 2.68-2.73, 1 W 2.71
Ir3 0.5000 0.2551 0.0000  6 Cr 2.63-2.72, 4 Ir 2.65-2.76, 2 W 2.69
Ir4 0.5000 0.7449 0.0000  6 Cr 2.63-2.72, 4 Ir 2.65-2.76, 2 W 2.69
Ir5 0.1727 0.7476 0.3381  7 Cr 2.62-2.73, 4 Ir 2.68-2.73, 1 W 2.71
Ir6 0.1727 0.2524 0.3381  7 Cr 2.62-2.73, 4 Ir 2.68-2.73, 1 W 2.71
W1 0.0000 0.0000 0.0000  8 Ir 2.69-2.71, 4 Cr 2.70-2.75

ΔE_f = -0.197 eV per atom
SG = P2/m (10)
DFT total energy = -9.717 eV per atom
Density of states at the Fermi level = 10.548 states/eV/f.u.
Total magnetic moment = 0.5 μB per formula unit

=====

Record 14
# Tb2PuBi

A relaxed structure of Tb2PuBi (PBE, Alexandria).

Cell: 4.6141 4.9685 4.9685 Å, 90.00 90.00 90.00°
With the nearest neighbours (Å) after each atom.
Fractional positions:
Tb1 0.0000 0.0000 0.5000  4 Bi 3.39, 4 Pu 3.39, 4 Tb 3.51
Tb2 0.0000 0.5000 0.0000  4 Bi 3.39, 4 Pu 3.39, 4 Tb 3.51
Bi1 0.5000 0.5000 0.5000  8 Tb 3.39, 4 Pu 3.51
Pu1 0.5000 0.0000 0.0000  8 Tb 3.39, 4 Bi 3.51

ΔE_f = -0.280 eV per atom
SG = P4/mmm (123)
DFT total energy = -7.149 eV per atom
Density of states at the Fermi level = 11.019 states/eV/f.u.
Total magnetic moment = 6.6 μB per formula unit
Energy relative to the lowest polymorph listed for this composition = 0.00 eV/f.u.

=====

Record 15
# LiPu2I6

A relaxed structure of LiPu2I6 (PBE, Alexandria).

Cell: 7.4257 7.4257 13.7892 Å, 90.00 90.00 90.00°
With the nearest neighbours (Å) after each atom.
Fractional positions:
Li1 0.5000 0.5000 0.0000  6 I 3.02-3.11
Li2 0.0000 0.0000 0.5000  6 I 3.02-3.11
Pu1 0.5000 0.5000 0.3331  6 I 3.14-3.18
Pu2 0.5000 0.5000 0.6669  6 I 3.14-3.18
Pu3 0.0000 0.0000 0.1669  6 I 3.14-3.18
Pu4 0.0000 0.0000 0.8331  6 I 3.14-3.18
I1 0.6971 0.6971 0.1599  1 Li 3.02, 2 Pu 3.16-3.18
I2 0.6971 0.6971 0.8401  1 Li 3.02, 2 Pu 3.16-3.18
I3 0.7040 0.7040 0.5000  1 Li 3.11, 2 Pu 3.14
I4 0.7960 0.2040 0.0000  1 Li 3.11, 2 Pu 3.14
I5 0.8029 0.1971 0.3401  1 Li 3.02, 2 Pu 3.16-3.18
I6 0.8029 0.1971 0.6599  1 Li 3.02, 2 Pu 3.16-3.18
I7 0.1971 0.8029 0.3401  1 Li 3.02, 2 Pu 3.16-3.18
I8 0.1971 0.8029 0.6599  1 Li 3.02, 2 Pu 3.16-3.18
I9 0.2040 0.7960 0.0000  1 Li 3.11, 2 Pu 3.14
I10 0.2960 0.2960 0.5000  1 Li 3.11, 2 Pu 3.14
I11 0.3029 0.3029 0.1599  1 Li 3.02, 2 Pu 3.16-3.18
I12 0.3029 0.3029 0.8401  1 Li 3.02, 2 Pu 3.16-3.18

SG = P4_2/mnm (136)
DFT total energy = -5.522 eV per atom
Density of states at the Fermi level = 32.272 states/eV/f.u.
Total magnetic moment = 11.0 μB per formula unit
Energy relative to the lowest polymorph listed for this composition = 0.27 eV/f.u.
E_form (uncorrected) = -1.09 eV/atom

=====

Record 16
# BaMgAl2Rh

A relaxed structure of BaMgAl2Rh (PBE, Alexandria).

Cell: 4.8489 4.8489 5.0741 Å, 90.00 90.00 90.00°
With the nearest neighbours (Å) after each atom.
Fractional positions:
Mg1 0.0000 0.0000 0.5000  2 Rh 2.54
Rh1 0.0000 0.0000 0.0000  4 Al 2.42, 2 Mg 2.54
Ba1 0.5000 0.5000 0.5000  4 Mg 3.43, 8 Al 3.51
Al1 0.0000 0.5000 0.0000  2 Rh 2.42
Al2 0.5000 0.0000 0.0000  2 Rh 2.42

ΔE_f = -0.466 eV per atom
SG = P4/mmm (123)
DFT total energy = -4.137 eV per atom
Density of states at the Fermi level = 3.233 states/eV/f.u.
Total magnetic moment = 0.0 μB per formula unit